Entry 1:
Compound: Cu2Sn2Te
Source: Alexandria via LeMat-Bulk
Functional: PBE
Structure: relaxed

Calculated values
Total moment ... 0.000 μB/atom
Crystal system ... tetragonal
Raw total energy ... -18.8 eV/f.u.
Relative energy among the computed polymorphs ... 0.0000 eV per atom
Uncorrected formation energy ... 0.10 eV per atom
Calculated volume ... 214 Å³ per cell

a = 7.300 Å, b = 7.300 Å, c = 4.024 Å
α = 90.00°, β = 90.00°, γ = 90.00°
Fractional positions:
Te1 0.000 0.000 0.000
Te2 0.500 0.500 0.000
Sn1 0.163 0.663 0.500
Sn2 0.663 0.837 0.500
Sn3 0.837 0.337 0.500
Sn4 0.337 0.163 0.500
Cu1 0.378 0.878 0.000
Cu2 0.878 0.622 0.000
Cu3 0.622 0.122 0.000
Cu4 0.122 0.378 0.000

Entry 2:
Compound: CuSiP2O
Source: Alexandria via LeMat-Bulk
Functional: PBE
Structure: relaxed

Calculated values
Total moment ... 0.000 μB/atom
Crystal system ... tetragonal
Raw total energy ... -22.2 eV/f.u.
Relative energy among the computed polymorphs ... 0.6612 eV per atom
Uncorrected formation energy ... 0.62 eV per atom
Calculated volume ... 76 Å³ per cell

a = 4.635 Å, b = 4.635 Å, c = 3.519 Å
α = 90.00°, β = 90.00°, γ = 90.00°
Fractional positions:
P1 0.000 0.500 0.000
P2 0.500 0.000 0.000
Si1 0.500 0.500 0.500
O1 0.000 0.000 0.500
Cu1 0.000 0.000 0.000